Below is a relaxed structure of Na2Ag3Sb2, with properties calculated at the PBE level.

Cell: 5.891 5.891 7.234 Å, 109.74 109.74 47.12°
Sites, in units of the cell vectors:
Na 0.145 0.145 0.258
Na 0.855 0.855 0.742
Ag 0.387 0.387 0.068
Ag 0.500 0.500 0.500
Ag 0.613 0.613 0.932
Sb 0.143 0.143 0.727
Sb 0.857 0.857 0.273

Values from the calculation:
Uncorrected formation energy (meV per atom): -144
E (eV per cell): -20.442
Space group: C2/m (12)
Volume (Å³/f.u.): 171.02